No. 1
## MnTl2Ga (GGA-PBE)

Data for a relaxed MnTl2Ga crystal.

The value obtained for the energy relative to the lowest polymorph listed for this composition is 0.454 eV per atom. For the density, the calculation gives 9.23 g cm⁻³.

The space group is Fm-3m (No. 225) and the conventional cell measures 7.267, 7.267 and 7.267 Å, with angles of 90.00, 90.00 and 90.00 degrees. The distinct sites, in fractional coordinates, are Mn at (0.000, 0.000, 0.000), Tl at (0.250, 0.250, 0.250) and Ga at (0.000, 0.000, 0.500).

No. 2
## Hf2ReCl (GGA-PBE)

Data for a relaxed Hf2ReCl crystal.

The value obtained for the energy relative to the lowest polymorph listed for this composition is 0.000 eV per atom. For the density, the calculation gives 12.89 g cm⁻³. For the formation energy (no corrections), the calculation gives 15.0 kJ per mole of atoms.

The space group is Fm-3m (No. 225) and the conventional cell measures 6.681, 6.681 and 6.681 Å, with angles of 90.00, 90.00 and 90.00 degrees. The distinct sites, in fractional coordinates, are Hf at (0.250, 0.250, 0.250), Re at (0.000, 0.000, 0.000) and Cl at (0.000, 0.000, 0.500).

No. 3
## ErPuN (GGA-PBE)

Data for a relaxed ErPuN crystal.

The value obtained for the energy relative to the lowest polymorph listed for this composition is 0.668 eV per atom. For the density, the calculation gives 13.10 g cm⁻³. For the formation energy (no corrections), the calculation gives -18.2 kJ per mole of atoms.

The space group is F-43m (No. 216) and the conventional cell measures 5.996, 5.996 and 5.996 Å, with angles of 90.00, 90.00 and 90.00 degrees. The distinct sites, in fractional coordinates, are Er at (0.000, 0.000, 0.000), Pu at (0.000, 0.000, 0.500) and N at (0.250, 0.250, 0.750).

Which of these has the lowest energy relative to the lowest polymorph listed for this composition?
Hf2ReCl